A plane-wave DFT calculation with PBE was carried out for crystalline NdDy4ErSe8 at its relaxed geometry.

Output
The density of states at the Fermi level comes out at 26.48 states/eV/cell. The value obtained for the uncorrected formation energy is -1.711 eV per atom. The calculation puts the total energy at -0.209 Ha/atom.

Unit cell a=8.4585 b=8.4585 c=20.6755 alpha=90.00 beta=90.00 gamma=120.00
Space group R3m (No. 160, hexagonal axes)
Symmetry-distinct sites (fractional):
1 Nd 0.0000 0.0000 0.0000 x3
2 Dy 0.0000 0.0000 0.2492 x3
3 Dy 0.0022 0.5011 0.1249 x9
4 Er 0.0000 0.0000 0.6241 x3
5 Se 0.0000 0.0000 0.3813 x3
6 Se 0.0000 0.0000 0.8642 x3
7 Se 0.0303 0.5151 0.3775 x9
8 Se 0.1771 0.3542 0.2065 x9